Cs9Ag3O2 after structural relaxation, computed with PBE-GGA.

Output
Its formation energy from raw total energies is -0.410 eV per atom. Its total moment is 0.0 μB/f.u.

Cell: 8.5877 8.5877 10.5485 Å, 90.00 90.00 120.00°
Space group P-3m1 (No. 164)
Unique sites:
Cs 0.0000 0.5000 0.0000 [3 per cell]
Cs 0.1775 0.3550 0.6831 [6 per cell]
Ag 0.0000 0.0000 0.0000 [1 per cell]
Ag 0.3333 0.6667 0.3369 [2 per cell]
O 0.3333 0.6667 0.8208 [2 per cell]